(1)
The following is a DFT calculation (GGA-PBE) of a geometry-optimized MgZnB2Ru structure. Values from VASP.

Cell and atoms, written as Quantum ESPRESSO input:
```
&SYSTEM
  ibrav = 0, nat = 5, ntyp = 4
/
ATOMIC_SPECIES
Mg 24.30 Mg.upf
Zn 65.41 Zn.upf
B 10.81 B.upf
Ru 101.07 Ru.upf
CELL_PARAMETERS angstrom
3.851 0.000 0.000
0.000 3.851 0.000
0.000 0.000 4.676
ATOMIC_POSITIONS angstrom
Mg 0.000 0.000 0.000
Zn 0.000 0.000 2.338
B 0.000 1.926 2.338
B 1.926 0.000 2.338
Ru 1.926 1.926 0.000
```

Computed properties:
**Space group**: P4/mmm, No. 123
**Raw total energy**: -3.54 eV per atom
**Energy relative to the elements**: 1.556 eV per atom
**Size of the total moment**: 0.000 μB/cell


(2)
The following is a DFT calculation (GGA-PBE) of a geometry-optimized KY structure. Values from VASP.

Cell and atoms, written as Quantum ESPRESSO input:
```
&SYSTEM
  ibrav = 0, nat = 2, ntyp = 2
/
ATOMIC_SPECIES
K 39.10 K.upf
Y 88.91 Y.upf
CELL_PARAMETERS angstrom
3.489 0.000 0.000
0.000 3.489 0.000
0.000 0.000 7.073
ATOMIC_POSITIONS angstrom
K 0.000 0.000 0.000
Y 1.745 1.745 3.536
```

Computed properties:
**Space group**: P4/mmm, No. 123
**Raw total energy**: -3.19 eV per atom
**Energy relative to the elements**: 0.595 eV per atom
**Size of the total moment**: 0.001 μB/cell


(3)
The following is a DFT calculation (GGA-PBE) of a geometry-optimized La8Os3RuBr3 structure. Values from VASP.

Cell and atoms, written as Quantum ESPRESSO input:
```
&SYSTEM
  ibrav = 0, nat = 15, ntyp = 4
/
ATOMIC_SPECIES
La 138.91 La.upf
Os 190.23 Os.upf
Ru 101.07 Ru.upf
Br 79.90 Br.upf
CELL_PARAMETERS angstrom
7.269 -4.201 0.000
7.269 4.201 0.000
-4.843 0.000 7.824
ATOMIC_POSITIONS angstrom
La -0.010 0.000 5.423
La 3.642 2.111 5.424
La 6.052 2.111 2.400
La 2.424 0.000 2.395
La 7.270 0.000 5.429
La 3.642 -2.111 5.424
La 6.052 -2.111 2.400
La 9.704 0.000 2.402
Os 1.213 2.100 3.912
Os 1.213 -2.100 3.912
Os 4.847 0.000 3.912
Ru -2.422 0.000 3.912
Br 0.000 0.000 0.000
Br 3.634 2.100 0.000
Br 3.634 -2.100 0.000
```

Computed properties:
**E_form (uncorrected)**: -0.68 eV/atom
**Space group**: C2/m, No. 12
**Raw total energy**: -6.50 eV per atom
**Size of the total moment**: 0.000 μB/cell


(4)
The following is a DFT calculation (GGA-PBE) of a geometry-optimized InSiHg2 structure. Values from VASP.

Cell and atoms, written as Quantum ESPRESSO input:
```
&SYSTEM
  ibrav = 0, nat = 4, ntyp = 3
/
ATOMIC_SPECIES
In 114.82 In.upf
Si 28.09 Si.upf
Hg 200.59 Hg.upf
CELL_PARAMETERS angstrom
3.031 0.000 0.000
0.000 5.530 0.000
0.000 0.000 5.584
ATOMIC_POSITIONS angstrom
In 0.000 0.000 0.000
Si 1.515 2.765 0.000
Hg 0.000 2.765 2.792
Hg 1.515 0.000 2.792
```

Computed properties:
**E_form (uncorrected)**: 0.33 eV/atom
**Space group**: Pmmm, No. 47
**Raw total energy**: -1.86 eV per atom
**Size of the total moment**: 0.000 μB/cell


(5)
The following is a DFT calculation (GGA-PBE) of a geometry-optimized CaCr2Re structure. Values from VASP.

Cell and atoms, written as Quantum ESPRESSO input:
```
&SYSTEM
  ibrav = 0, nat = 4, ntyp = 3
/
ATOMIC_SPECIES
Ca 40.08 Ca.upf
Cr 52.00 Cr.upf
Re 186.21 Re.upf
CELL_PARAMETERS angstrom
4.607 -1.510 0.000
4.607 1.510 0.000
-1.268 0.000 5.300
ATOMIC_POSITIONS angstrom
Ca 0.000 0.000 0.000
Cr 1.192 0.000 3.325
Cr 6.755 0.000 1.975
Re 3.973 0.000 2.650
```

Computed properties:
**Space group**: C2/m, No. 12
**Raw total energy**: -7.82 eV per atom
**Energy relative to the elements**: 0.603 eV per atom
**Size of the total moment**: 0.000 μB/cell
**Polymorph energy (0 for the lowest one)**: 118.5 meV/atom


(6)
The following is a DFT calculation (GGA-PBE) of a geometry-optimized Tb6Pm3Nd2Tm structure. Values from VASP.

Cell and atoms, written as Quantum ESPRESSO input:
```
&SYSTEM
  ibrav = 0, nat = 12, ntyp = 4
/
ATOMIC_SPECIES
Tb 158.93 Tb.upf
Pm 145.00 Pm.upf
Nd 144.24 Nd.upf
Tm 168.93 Tm.upf
CELL_PARAMETERS angstrom
3.116 -5.395 0.000
3.116 5.395 0.000
-2.073 0.000 11.728
ATOMIC_POSITIONS angstrom
Tb 0.002 1.793 8.786
Tb 1.031 0.000 2.937
Tb 0.002 -1.793 8.786
Tb 4.157 1.793 2.942
Tb 3.128 0.000 8.791
Tb 4.157 -1.793 2.942
Pm 3.116 3.596 0.000
Pm 3.116 0.000 0.000
Pm 3.116 -3.596 0.000
Nd 2.080 1.795 5.864
Nd 2.080 -1.795 5.864
Tm -1.036 0.000 5.864
```

Computed properties:
**Space group**: C2/m, No. 12
**Raw total energy**: -4.66 eV per atom
**Energy relative to the elements**: 0.013 eV per atom
**Size of the total moment**: 0.000 μB/cell


(7)
The following is a DFT calculation (GGA-PBE) of a geometry-optimized NdAlRh2 structure. Values from VASP.

Cell and atoms, written as Quantum ESPRESSO input:
```
&SYSTEM
  ibrav = 0, nat = 4, ntyp = 3
/
ATOMIC_SPECIES
Nd 144.24 Nd.upf
Al 26.98 Al.upf
Rh 102.91 Rh.upf
CELL_PARAMETERS angstrom
3.177 0.000 0.000
0.000 3.177 0.000
0.000 0.000 6.962
ATOMIC_POSITIONS angstrom
Nd 0.000 0.000 0.000
Al 0.000 0.000 3.481
Rh 1.588 1.588 2.070
Rh 1.588 1.588 4.893
```

Computed properties:
**Space group**: P4/mmm, No. 123
**Raw total energy**: -6.52 eV per atom
**Energy relative to the elements**: -0.715 eV per atom
**Size of the total moment**: 0.000 μB/cell


(8)
The following is a DFT calculation (GGA-PBE) of a geometry-optimized PmAlFeC structure. Values from VASP.

Cell and atoms, written as Quantum ESPRESSO input:
```
&SYSTEM
  ibrav = 0, nat = 4, ntyp = 4
/
ATOMIC_SPECIES
Pm 145.00 Pm.upf
Al 26.98 Al.upf
Fe 55.84 Fe.upf
C 12.01 C.upf
CELL_PARAMETERS angstrom
3.175 0.000 0.000
0.000 1.818 5.372
0.000 -1.818 5.372
ATOMIC_POSITIONS angstrom
Pm 0.000 0.000 0.000
Al 1.587 0.000 7.896
Fe 0.000 0.000 3.006
C 1.587 0.000 4.009
```

Computed properties:
**Space group**: Amm2, No. 38
**Raw total energy**: -6.59 eV per atom
**Energy relative to the elements**: -0.047 eV per atom
**Size of the total moment**: 0.000 μB/cell


(9)
The following is a DFT calculation (GGA-PBE) of a geometry-optimized CaGeTeN2 structure. Values from VASP.

Cell and atoms, written as Quantum ESPRESSO input:
```
&SYSTEM
  ibrav = 0, nat = 5, ntyp = 4
/
ATOMIC_SPECIES
Ca 40.08 Ca.upf
Ge 72.64 Ge.upf
Te 127.60 Te.upf
N 14.01 N.upf
CELL_PARAMETERS angstrom
4.135 0.000 0.000
0.000 4.135 0.000
0.000 0.000 5.635
ATOMIC_POSITIONS angstrom
Ca 0.000 0.000 0.000
Ge 2.067 2.067 2.818
Te 2.067 2.067 0.000
N 0.000 2.067 2.818
N 2.067 0.000 2.818
```

Computed properties:
**E_form (uncorrected)**: 0.62 eV/atom
**Space group**: P4/mmm, No. 123
**Raw total energy**: -4.67 eV per atom
**Size of the total moment**: 2.082 μB/cell
**Polymorph energy (0 for the lowest one)**: 0.0 meV/atom


(10)
The following is a DFT calculation (GGA-PBE) of a geometry-optimized CaZrOs2 structure. Values from VASP.

Cell and atoms, written as Quantum ESPRESSO input:
```
&SYSTEM
  ibrav = 0, nat = 4, ntyp = 3
/
ATOMIC_SPECIES
Ca 40.08 Ca.upf
Zr 91.22 Zr.upf
Os 190.23 Os.upf
CELL_PARAMETERS angstrom
5.603 -1.557 0.000
5.603 1.557 0.000
-2.033 0.000 4.322
ATOMIC_POSITIONS angstrom
Ca 0.000 0.000 0.000
Zr 0.990 0.000 3.113
Os 4.341 0.000 2.043
Os 8.040 0.000 1.158
```

Computed properties:
**Space group**: Cm, No. 8
**Raw total energy**: -8.07 eV per atom
**Energy relative to the elements**: 0.178 eV per atom
**Size of the total moment**: 0.000 μB/cell


(11)
The following is a DFT calculation (GGA-PBE) of a geometry-optimized InAsPdW2 structure. Values from VASP.

Cell and atoms, written as Quantum ESPRESSO input:
```
&SYSTEM
  ibrav = 0, nat = 5, ntyp = 4
/
ATOMIC_SPECIES
In 114.82 In.upf
As 74.92 As.upf
Pd 106.42 Pd.upf
W 183.84 W.upf
CELL_PARAMETERS angstrom
4.884 0.000 0.000
0.000 4.884 0.000
0.000 0.000 4.877
ATOMIC_POSITIONS angstrom
In 0.000 0.000 0.000
As 2.442 2.442 0.000
Pd 0.000 0.000 2.439
W 0.000 2.442 2.439
W 2.442 0.000 2.439
```

Computed properties:
**Space group**: P4/mmm, No. 123
**Raw total energy**: -5.90 eV per atom
**Energy relative to the elements**: 1.793 eV per atom
**Size of the total moment**: 3.317 μB/cell


(12)
The following is a DFT calculation (GGA-PBE) of a geometry-optimized KPbO2 structure. Values from VASP.

Cell and atoms, written as Quantum ESPRESSO input:
```
&SYSTEM
  ibrav = 0, nat = 4, ntyp = 3
/
ATOMIC_SPECIES
K 39.10 K.upf
Pb 207.20 Pb.upf
O 16.00 O.upf
CELL_PARAMETERS angstrom
1.798 1.038 6.435
-1.798 1.038 6.435
0.000 -2.076 6.435
ATOMIC_POSITIONS angstrom
K 0.000 0.000 0.000
Pb 0.000 0.000 3.320
O 0.000 0.000 11.026
O 0.000 0.000 14.939
```

Computed properties:
**E_form (uncorrected)**: -1.09 eV/atom
**Space group**: R3m, No. 160
**Raw total energy**: -4.77 eV per atom
**Size of the total moment**: 0.001 μB/cell